Entry 1:
A plane-wave DFT calculation with PBE was carried out for crystalline Ag2I2O7 at its relaxed geometry.

Cell lengths 5.7991, 10.1009, 6.6010 Å; angles 90.00, 115.71, 90.00 degrees
Closest atoms and distances in Å follow each position.
Sites, in units of the cell vectors:
Ag1 0.0559 0.1622 0.4692  4 O 2.17-2.30
Ag2 0.0559 0.3378 0.9692  4 O 2.17-2.30
Ag3 0.9441 0.6622 0.0308  4 O 2.17-2.30
Ag4 0.9441 0.8378 0.5308  4 O 2.17-2.30
I1 0.3386 0.5473 0.7094  3 O 1.83-2.03
I2 0.3386 0.9527 0.2094  3 O 1.83-2.03
I3 0.6614 0.0473 0.7906  3 O 1.83-2.03
I4 0.6614 0.4527 0.2906  3 O 1.83-2.03
O1 0.0480 0.6359 0.4965  1 I 1.89
O2 0.0480 0.8641 0.9965  1 I 1.89
O3 0.2144 0.5360 0.9574  1 I 2.06, 2 Ag 2.22-2.23
O4 0.2144 0.9640 0.4574  1 I 2.06, 2 Ag 2.22-2.23
O5 0.4855 0.2006 0.6754  1 I 1.83
O6 0.4855 0.2994 0.1754  1 I 1.83
O7 0.5000 0.0000 0.0000  2 I 2.03
O8 0.5000 0.5000 0.5000  2 I 2.03
O9 0.5145 0.7006 0.8246  1 I 1.83
O10 0.5145 0.7994 0.3246  1 I 1.83
O11 0.7856 0.0360 0.5426  1 I 2.06, 2 Ag 2.22-2.23
O12 0.7856 0.4640 0.0426  1 I 2.06, 2 Ag 2.22-2.23
O13 0.9520 0.1359 0.0035  1 I 1.89
O14 0.9520 0.3641 0.5035  1 I 1.89

Summary:
Its space-group type is No. 14. The total energy comes out at -4.0782 eV per atom.

***

Entry 2:
A plane-wave DFT calculation with PBE was carried out for crystalline Ag2I2O7 at its relaxed geometry.

Cell lengths 5.7149, 5.7149, 6.1349 Å; angles 91.23, 91.23, 100.96 degrees
Closest atoms and distances in Å follow each position.
Sites, in units of the cell vectors:
Ag1 0.2014 0.7986 0.0000  6 O 2.32-2.38
Ag2 0.7986 0.2014 0.0000  6 O 2.32-2.38
I1 0.2370 0.2370 0.3753  4 O 1.87-2.04
I2 0.7630 0.7630 0.6247  4 O 1.87-2.04
O1 0.0126 0.0126 0.7527  1 I 1.95
O2 0.1164 0.4524 0.1991  1 I 1.87
O3 0.4524 0.1164 0.1991  1 I 1.87
O4 0.5000 0.5000 0.5000  2 I 2.04
O5 0.5476 0.8836 0.8009  1 I 1.87
O6 0.8836 0.5476 0.8009  1 I 1.87
O7 0.9874 0.9874 0.2473  1 I 1.95

Summary:
Its space-group type is No. 12. The total energy comes out at -4.0704 eV per atom.

***

Entry 3:
A plane-wave DFT calculation with PBE was carried out for crystalline Ag3IO6 at its relaxed geometry.

Cell lengths 6.6703, 6.6703, 6.6703 Å; angles 90.07, 90.07, 90.07 degrees
Closest atoms and distances in Å follow each position.
Sites, in units of the cell vectors:
Ag1 0.0716 0.7500 0.4284  2 O 2.16
Ag2 0.2500 0.5716 0.9284  2 O 2.16
Ag3 0.4284 0.0716 0.7500  2 O 2.16
Ag4 0.5716 0.9284 0.2500  2 O 2.16
Ag5 0.7500 0.4284 0.0716  2 O 2.16
Ag6 0.9284 0.2500 0.5716  2 O 2.16
I1 0.0000 0.0000 0.0000  6 O 1.94
I2 0.5000 0.5000 0.5000  6 O 1.94
O1 0.0225 0.2876 0.9687  1 I 1.94, 1 Ag 2.16
O2 0.0313 0.9775 0.7124  1 I 1.94, 1 Ag 2.16
O3 0.2124 0.4775 0.5313  1 I 1.94, 1 Ag 2.16
O4 0.2876 0.9687 0.0225  1 I 1.94, 1 Ag 2.16
O5 0.4687 0.7876 0.5225  1 I 1.94, 1 Ag 2.16
O6 0.4775 0.5313 0.2124  1 I 1.94, 1 Ag 2.16
O7 0.5225 0.4687 0.7876  1 I 1.94, 1 Ag 2.16
O8 0.5313 0.2124 0.4775  1 I 1.94, 1 Ag 2.16
O9 0.7124 0.0313 0.9775  1 I 1.94, 1 Ag 2.16
O10 0.7876 0.5225 0.4687  1 I 1.94, 1 Ag 2.16
O11 0.9687 0.0225 0.2876  1 I 1.94, 1 Ag 2.16
O12 0.9775 0.7124 0.0313  1 I 1.94, 1 Ag 2.16

Summary:
Its space-group type is No. 167. The total energy comes out at -4.0879 eV per atom.

***

Entry 4:
A plane-wave DFT calculation with PBE was carried out for crystalline AgI2O at its relaxed geometry.

Cell lengths 7.9298, 7.9298, 7.9298 Å; angles 136.89, 136.89, 62.61 degrees
Closest atoms and distances in Å follow each position.
Sites, in units of the cell vectors:
Ag1 0.0000 0.0000 0.0000  4 I 2.96
Ag2 0.7500 0.2500 0.5000  4 I 2.96
I1 0.2088 0.6250 0.0838  2 O 2.44
I2 0.3750 0.4588 0.5838  2 O 2.44
I3 0.5412 0.1250 0.9162  2 O 2.44
I4 0.8750 0.7912 0.4162  2 O 2.44
O1 0.2500 0.7500 0.5000  4 I 2.44
O2 0.5000 0.5000 0.0000  4 I 2.44

Summary:
Its space-group type is No. 122. The total energy comes out at -2.4476 eV per atom.

***

Entry 5:
A plane-wave DFT calculation with PBE was carried out for crystalline Ag8IO6 at its relaxed geometry.

Cell lengths 6.3906, 6.3906, 6.3906 Å; angles 90.71, 90.71, 90.71 degrees
Closest atoms and distances in Å follow each position.
Sites, in units of the cell vectors:
Ag1 0.0316 0.7692 0.3774  2 O 2.08-2.09
Ag2 0.2308 0.6226 0.9684  2 O 2.08-2.09
Ag3 0.2344 0.2344 0.2344  3 O 2.33
Ag4 0.3774 0.0316 0.7692  2 O 2.08-2.09
Ag5 0.6226 0.9684 0.2308  2 O 2.08-2.09
Ag6 0.7656 0.7656 0.7656  3 O 2.33
Ag7 0.7692 0.3774 0.0316  2 O 2.08-2.09
Ag8 0.9684 0.2308 0.6226  2 O 2.08-2.09
I1 0.5000 0.5000 0.5000  2 Ag 2.90
O1 0.1071 0.8617 0.6819  2 Ag 2.08-2.09
O2 0.1383 0.3181 0.8929  2 Ag 2.08-2.09
O3 0.3181 0.8929 0.1383  2 Ag 2.08-2.09
O4 0.6819 0.1071 0.8617  2 Ag 2.08-2.09
O5 0.8617 0.6819 0.1071  2 Ag 2.08-2.09
O6 0.8929 0.1383 0.3181  2 Ag 2.08-2.09

Summary:
Its space-group type is No. 148. The total energy comes out at -3.4673 eV per atom.

***

Entry 6:
A plane-wave DFT calculation with PBE was carried out for crystalline AgI2O2 at its relaxed geometry.

Cell lengths 4.9281, 4.9281, 4.0954 Å; angles 90.00, 90.00, 90.00 degrees
Closest atoms and distances in Å follow each position.
Sites, in units of the cell vectors:
Ag1 0.0000 0.0000 0.0000  8 I 3.20, 4 O 3.48
I1 0.0000 0.5000 0.5000  2 O 2.46
I2 0.5000 0.0000 0.5000  2 O 2.46
O1 0.5000 0.5000 0.0000  2 O 2.05
O2 0.5000 0.5000 0.5000  2 O 2.05

Summary:
Its space-group type is No. 123. The total energy comes out at -2.4674 eV per atom.

***

Entry 7:
A plane-wave DFT calculation with PBE was carried out for crystalline Ag3IO6 at its relaxed geometry.

Cell lengths 6.1153, 6.1153, 5.0850 Å; angles 110.65, 110.65, 52.82 degrees
Closest atoms and distances in Å follow each position.
Sites, in units of the cell vectors:
Ag1 0.0000 0.0000 0.0000  4 O 2.11
Ag2 0.2329 0.2329 0.7112  3 O 2.20-2.37
Ag3 0.7671 0.7671 0.2888  3 O 2.20-2.37
I1 0.5000 0.5000 0.5000  6 O 1.88-1.97
O1 0.1660 0.6702 0.6563  1 I 1.97, 1 Ag 2.11
O2 0.3298 0.8340 0.3437  1 I 1.97, 1 Ag 2.11
O3 0.3379 0.3379 0.1804  1 I 1.88
O4 0.6621 0.6621 0.8196  1 I 1.88
O5 0.6702 0.1660 0.6563  1 I 1.97, 1 Ag 2.11
O6 0.8340 0.3298 0.3437  1 I 1.97, 1 Ag 2.11

Summary:
Its space-group type is No. 12. The total energy comes out at -4.0953 eV per atom.

***

Entry 8:
A plane-wave DFT calculation with PBE was carried out for crystalline AgIO at its relaxed geometry.

Cell lengths 5.6702, 5.6702, 5.6702 Å; angles 136.79, 136.79, 62.76 degrees
Closest atoms and distances in Å follow each position.
Sites, in units of the cell vectors:
Ag1 0.0000 0.0000 0.0000  1 O 2.19
I1 0.4229 0.4229 0.0000  1 O 1.90
O1 0.2264 0.2264 0.0000  1 I 1.90

Summary:
Its space-group type is No. 107. The total energy comes out at -2.8886 eV per atom.

***

Entry 9:
A plane-wave DFT calculation with PBE was carried out for crystalline AgI2O2 at its relaxed geometry.

Cell lengths 5.5953, 5.5953, 3.9484 Å; angles 90.00, 90.00, 90.00 degrees
Closest atoms and distances in Å follow each position.
Sites, in units of the cell vectors:
Ag1 0.0000 0.0000 0.0000  2 O 1.97
I1 0.0000 0.5000 0.0000  2 Ag 2.80
I2 0.5000 0.0000 0.0000  2 Ag 2.80
O1 0.0000 0.0000 0.5000  2 Ag 1.97
O2 0.5000 0.5000 0.5000  8 I 3.42

Summary:
Its space-group type is No. 123. The total energy comes out at -2.1677 eV per atom.

***

Entry 10:
A plane-wave DFT calculation with PBE was carried out for crystalline AgI2O6 at its relaxed geometry.

Cell lengths 7.6538, 7.6538, 8.5837 Å; angles 124.02, 124.02, 72.60 degrees
Closest atoms and distances in Å follow each position.
Sites, in units of the cell vectors:
Ag1 0.1507 0.8493 0.7500  4 O 2.15-2.23
Ag2 0.8493 0.1507 0.2500  4 O 2.15-2.23
I1 0.0263 0.5081 0.2252  3 O 1.82-1.87
I2 0.4919 0.9737 0.2748  3 O 1.82-1.87
I3 0.5081 0.0263 0.7252  3 O 1.82-1.87
I4 0.9737 0.4919 0.7748  3 O 1.82-1.87
O1 0.0733 0.3528 0.5801  1 I 1.86
O2 0.1145 0.7461 0.9281  1 I 1.87
O3 0.1566 0.3797 0.9489  1 I 1.82
O4 0.2539 0.8855 0.5719  1 I 1.87
O5 0.3528 0.0733 0.0801  1 I 1.86
O6 0.3797 0.1566 0.4489  1 I 1.82
O7 0.6203 0.8434 0.5511  1 I 1.82
O8 0.6472 0.9267 0.9199  1 I 1.86
O9 0.7461 0.1145 0.4281  1 I 1.87
O10 0.8434 0.6203 0.0511  1 I 1.82
O11 0.8855 0.2539 0.0719  1 I 1.87
O12 0.9267 0.6472 0.4199  1 I 1.86

Summary:
Its space-group type is No. 15. The total energy comes out at -4.1594 eV per atom.

***

Entry 11:
A plane-wave DFT calculation with PBE was carried out for crystalline AgI2O at its relaxed geometry.

Cell lengths 4.9821, 4.9821, 4.9821 Å; angles 60.00, 60.00, 60.00 degrees
Closest atoms and distances in Å follow each position.
Sites, in units of the cell vectors:
Ag1 0.0000 0.0000 0.0000  8 I 3.05
I1 0.2500 0.2500 0.2500  4 O 3.05, 4 Ag 3.05
I2 0.7500 0.7500 0.7500  4 O 3.05, 4 Ag 3.05
O1 0.5000 0.5000 0.5000  8 I 3.05

Summary:
Its space-group type is No. 225. The total energy comes out at -1.9989 eV per atom.

***

Entry 12:
A plane-wave DFT calculation with PBE was carried out for crystalline AgI3O8 at its relaxed geometry.

Cell lengths 13.4117, 13.4117, 13.4117 Å; angles 144.21, 144.21, 51.51 degrees
Closest atoms and distances in Å follow each position.
Sites, in units of the cell vectors:
Ag1 0.1168 0.6168 0.5000  4 O 2.47-2.50
Ag2 0.1286 0.1286 0.0000  4 O 2.44-2.46
Ag3 0.3832 0.8832 0.5000  4 O 2.47-2.50
Ag4 0.8714 0.8714 0.0000  4 O 2.44-2.46
I1 0.0019 0.4687 0.0332  3 O 1.82-1.97
I2 0.0313 0.9981 0.4668  3 O 1.82-1.97
I3 0.2473 0.7213 0.0274  3 O 1.81-1.98
I4 0.2787 0.3061 0.5260  3 O 1.81-1.98
I5 0.3406 0.3406 0.0000  2 O 1.84
I6 0.4355 0.9687 0.9668  3 O 1.82-1.97
I7 0.5313 0.5645 0.5332  3 O 1.82-1.97
I8 0.5930 0.0930 0.5000  2 O 1.84
I9 0.6594 0.6594 0.0000  2 O 1.84
I10 0.6939 0.2199 0.9726  3 O 1.81-1.98
I11 0.7801 0.7527 0.4740  3 O 1.81-1.98
I12 0.9070 0.4070 0.5000  2 O 1.84
O1 0.0009 0.8342 0.6887  1 I 1.83
O2 0.0027 0.2859 0.3798  1 I 1.84
O3 0.0625 0.7925 0.2697  1 I 1.82
O4 0.1243 0.3346 0.8739  1 I 1.84
O5 0.1455 0.3123 0.3113  1 I 1.83
O6 0.1500 0.4980 0.8229  2 I 1.98-2.08
O7 0.1658 0.8545 0.1667  1 I 1.83
O8 0.2075 0.4771 0.2700  1 I 1.82
O9 0.2072 0.9375 0.7300  1 I 1.82
O10 0.2588 0.0943 0.6813  2 I 1.97-2.09
O11 0.3049 0.5339 0.7589  1 I 1.81
O12 0.3771 0.9973 0.2832  1 I 1.84
O13 0.4130 0.5775 0.3187  2 I 1.97-2.09
O14 0.4225 0.7412 0.8355  2 I 1.97-2.09
O15 0.4277 0.0930 0.1762  1 I 1.83
O16 0.4540 0.6951 0.2290  1 I 1.81
O17 0.4607 0.2505 0.1261  1 I 1.84
O18 0.4661 0.2250 0.7710  1 I 1.81
O19 0.5020 0.3249 0.6520  2 I 1.98-2.08
O20 0.5229 0.7928 0.7303  1 I 1.82
O21 0.6654 0.5393 0.7898  1 I 1.84
O22 0.6730 0.8500 0.3480  2 I 1.98-2.08
O23 0.6751 0.3270 0.1771  2 I 1.98-2.08
O24 0.6877 0.9991 0.8333  1 I 1.83
O25 0.7141 0.0939 0.7168  1 I 1.84
O26 0.7485 0.5723 0.6653  1 I 1.83
O27 0.7495 0.8757 0.2102  1 I 1.84
O28 0.7750 0.5460 0.2411  1 I 1.81
O29 0.9057 0.5870 0.1645  2 I 1.97-2.09
O30 0.9061 0.6229 0.6202  1 I 1.84
O31 0.9070 0.0832 0.3347  1 I 1.83
O32 0.9168 0.2515 0.8238  1 I 1.83

Summary:
Its space-group type is No. 82. The total energy comes out at -4.2066 eV per atom.